# Ca6ZnAg5 PBE relaxed
# ΔH_f (0 K), eV/atom: -0.30
# Density of states at the Fermi level, states/eV per cell: 9.77
data_Ca6ZnAg5
_cell_length_a 5.2268
_cell_length_b 7.4474
_cell_length_c 8.2751
_cell_angle_alpha 90.00
_cell_angle_beta 108.22
_cell_angle_gamma 90.00
_symmetry_space_group_name_H-M 'P 1 2/m 1'
_symmetry_Int_Tables_number 10
loop_
_symmetry_equiv_pos_as_xyz
'x,y,z'
'-x,-y,-z'
'-x,y,-z'
'x,-y,z'
loop_
_atom_site_label
_atom_site_fract_x
_atom_site_fract_y
_atom_site_fract_z
_atom_site_occupancy
Ca1 0.0000 0.2486 0.0000 1
Ca2 0.3337 0.2481 0.6678 1
Zn1 0.5000 0.0000 0.0000 1
Ag1 0.1656 0.0000 0.3316 1
Ag2 0.1683 0.5000 0.3351 1
Ag3 0.5000 0.5000 0.0000 1

***

# CaZn2Ag PBE relaxed
# ΔH_f (0 K), eV/atom: -0.14
# Density of states at the Fermi level, states/eV per cell: 1.98
data_CaZn2Ag
_cell_length_a 3.4199
_cell_length_b 3.4199
_cell_length_c 6.8763
_cell_angle_alpha 90.00
_cell_angle_beta 90.00
_cell_angle_gamma 90.00
_symmetry_space_group_name_H-M 'P 4/m m m'
_symmetry_Int_Tables_number 123
_symmetry_space_group_name_Hall '-P 4 2'
loop_
_atom_site_label
_atom_site_fract_x
_atom_site_fract_y
_atom_site_fract_z
_atom_site_occupancy
Ca1 0.0000 0.0000 0.0000 1
Zn1 0.5000 0.5000 0.2942 1
Ag1 0.0000 0.0000 0.5000 1

***

# Ca2ZnAg2 PBE relaxed
# E above lowest polymorph, eV per formula unit: 0.000
# ΔH_f (0 K), eV/atom: -0.25
# Density of states at the Fermi level, states/eV per cell: 6.09
data_Ca2ZnAg2
_cell_length_a 7.5533
_cell_length_b 7.5533
_cell_length_c 4.3302
_cell_angle_alpha 90.00
_cell_angle_beta 90.00
_cell_angle_gamma 90.00
_symmetry_space_group_name_H-M 'P 4/m b m'
_symmetry_Int_Tables_number 127
_symmetry_space_group_name_Hall '-P 4 2ab'
loop_
_atom_site_label
_atom_site_fract_x
_atom_site_fract_y
_atom_site_fract_z
_atom_site_occupancy
Ca1 0.1736 0.3264 0.0000 1
Zn1 0.0000 0.0000 0.5000 1
Ag1 0.1320 0.6320 0.5000 1

***

Q: Which of these has the lowest density of states at the Fermi level?
A: CaZn2Ag